(1)
Material: KSrGeO2
Method: DFT, PBEsol
State: optimized geometry

Properties
formation energy from raw total energies: 1.04 eV per formula unit
total energy: -3.48 eV per atom
N(E_F): 5.4 states/eV per cell
calculated density: 3.5 g cm⁻³

Lattice parameters (Å, degrees): 4.723 4.723 4.927 90.00 90.00 90.00
Sites, in units of the cell vectors:
Sr 0.500 0.500 0.500
Ge 0.000 0.000 0.500
K 0.000 0.000 0.000
O 0.000 0.500 0.000
O 0.500 0.000 0.000

(2)
Material: KTaGeO5
Method: DFT, PBEsol
State: optimized geometry

Properties
formation energy from raw total energies: -18.61 eV per formula unit
total energy: -7.94 eV per atom
N(E_F): 0.0 states/eV per cell
calculated density: 5.0 g cm⁻³

Lattice parameters (Å, degrees): 6.677 11.057 13.446 90.00 90.00 90.00
Sites, in units of the cell vectors:
Ta 0.495 0.499 0.616
Ta 0.005 0.499 0.116
Ta 0.995 0.999 0.884
Ta 0.505 0.999 0.384
Ta 0.740 0.253 0.756
Ta 0.240 0.753 0.744
Ta 0.260 0.753 0.244
Ta 0.760 0.253 0.256
O 0.062 0.622 0.213
O 0.458 0.873 0.281
O 0.826 0.269 0.399
O 0.785 0.525 0.608
O 0.178 0.729 0.388
O 0.542 0.373 0.719
O 0.958 0.373 0.219
O 0.998 0.364 0.015
O 0.462 0.612 0.504
O 0.938 0.122 0.787
O 0.502 0.364 0.515
O 0.438 0.622 0.713
O 0.285 0.025 0.892
O 0.536 0.122 0.741
O 0.538 0.112 0.496
O 0.002 0.864 0.985
O 0.326 0.769 0.101
O 0.674 0.269 0.899
O 0.700 0.959 0.891
O 0.959 0.374 0.764
O 0.174 0.769 0.601
O 0.715 0.525 0.108
O 0.215 0.025 0.392
O 0.822 0.229 0.612
O 0.322 0.729 0.888
O 0.041 0.874 0.236
O 0.964 0.122 0.241
O 0.498 0.864 0.485
O 0.038 0.612 0.004
O 0.800 0.959 0.391
O 0.300 0.459 0.109
O 0.678 0.229 0.112
O 0.200 0.459 0.609
O 0.464 0.622 0.259
O 0.042 0.873 0.781
O 0.541 0.374 0.264
O 0.962 0.112 0.996
O 0.459 0.874 0.736
O 0.036 0.622 0.759
O 0.562 0.122 0.287
Ge 0.823 0.247 0.004
Ge 0.677 0.247 0.504
Ge 0.323 0.747 0.496
Ge 0.993 0.497 0.682
Ge 0.493 0.997 0.818
Ge 0.007 0.997 0.318
Ge 0.507 0.497 0.182
Ge 0.177 0.747 0.996
K 0.787 0.942 0.611
K 0.228 0.205 0.629
K 0.728 0.705 0.871
K 0.213 0.442 0.389
K 0.272 0.205 0.129
K 0.713 0.942 0.111
K 0.287 0.442 0.889
K 0.772 0.705 0.371

(3)
Material: KV3Ge2O9
Method: DFT, PBEsol
State: optimized geometry

Properties
formation energy from raw total energies: -30.24 eV per formula unit
total energy: -7.83 eV per atom
N(E_F): 9.8 states/eV per cell
calculated density: 4.0 g cm⁻³

Lattice parameters (Å, degrees): 5.792 5.792 13.749 90.00 90.00 120.00
Sites, in units of the cell vectors:
O 0.000 0.000 0.250
O 0.831 0.169 0.085
O 0.000 0.000 0.750
O 0.667 0.333 0.929
O 0.667 0.333 0.571
O 0.663 0.831 0.585
O 0.831 0.663 0.415
O 0.831 0.169 0.415
O 0.333 0.667 0.429
O 0.169 0.337 0.915
O 0.169 0.831 0.915
O 0.663 0.831 0.915
O 0.337 0.169 0.415
O 0.333 0.667 0.071
O 0.169 0.337 0.585
O 0.169 0.831 0.585
O 0.337 0.169 0.085
O 0.831 0.663 0.085
V 0.500 0.000 0.500
V 0.000 0.500 0.000
V 0.500 0.000 0.000
V 0.500 0.500 0.000
V 0.500 0.500 0.500
V 0.000 0.500 0.500
Ge 0.000 0.000 0.877
Ge 0.000 0.000 0.123
Ge 0.000 0.000 0.623
Ge 0.000 0.000 0.377
K 0.333 0.667 0.750
K 0.667 0.333 0.250